No. 1
TaGePt, relaxed, DFT PBE-GGA; space group = No. 187; ΔH_f (0 K) = -392 meV/atom
1.0
-2.291 0.659 1.704
1.255 -3.056 2.869
1.470 4.103 0.390
Ge Ta Pt
1 1 1
Cartesian
-0.381 0.110 0.283
-0.129 2.156 2.353
0.945 -0.560 2.327

=====

No. 2
HfBPRhCl, relaxed, DFT PBE-GGA; space group = No. 8; formation energy from raw total energies = -0.451 eV/atom; offset from the most stable computed form = 185 meV/atom
1.0
7.410 0.000 0.000
0.000 3.267 0.000
-5.047 0.000 7.717
Hf Cl P Rh B
2 2 2 2 2
Cartesian
4.994 1.633 3.334
2.470 0.000 7.193
3.298 0.000 2.173
0.775 1.633 6.032
-0.564 1.633 1.476
-3.088 0.000 5.335
-2.244 0.000 7.502
0.280 1.633 3.643
-3.262 1.633 6.595
-0.738 0.000 2.737

=====

No. 3
Eu2NiPd, relaxed, DFT PBE-GGA; space group = No. 123; ΔH_f (0 K) = -321 meV/atom; offset from the most stable computed form = 0 meV/atom
1.0
-0.275 1.164 -3.366
2.261 -2.552 -1.067
-5.500 -4.422 -1.080
Eu Pd Ni
2 1 1
Cartesian
-1.338 -1.076 -0.263
-4.162 -3.346 -0.817
-1.757 -2.905 -2.757
0.993 -0.694 -2.217

=====

No. 4
LaTmC, relaxed, DFT PBE-GGA; space group = No. 156; ΔH_f (0 K) = -189 meV/atom; offset from the most stable computed form = 21 meV/atom
1.0
-0.535 5.495 -3.574
-0.069 -1.972 -3.021
-3.080 0.805 1.699
Tm La C
1 1 1
Cartesian
-0.070 0.716 -0.466
-1.368 1.993 -3.424
-2.246 1.619 -1.006

=====

No. 5
PmPr7Nd4, relaxed, DFT PBE-GGA; space group = No. 2; ΔH_f (0 K) = 11 meV/atom; offset from the most stable computed form = 0 meV/atom
1.0
-6.545 3.449 -0.093
-1.412 -2.525 5.707
-1.908 8.498 6.925
Pr Nd Pm
7 4 1
Cartesian
-5.778 4.999 3.188
-4.087 4.423 9.351
-8.121 4.597 6.021
-1.744 4.825 6.518
-4.248 8.096 9.752
-5.616 1.327 2.787
-3.272 1.724 -0.047
-4.851 2.874 6.064
-5.013 6.549 6.474
-2.508 3.277 3.237
-7.356 6.146 9.302
0.000 0.000 0.000

=====

No. 6
MnBeIr2, relaxed, DFT PBE-GGA; space group = No. 99; ΔH_f (0 K) = -181 meV/atom
1.0
2.741 0.000 0.000
0.000 2.741 0.000
0.000 0.000 6.363
Mn Be Ir
1 1 2
Cartesian
0.000 0.000 3.371
1.370 1.370 4.745
1.370 1.370 1.723
0.000 0.000 6.068

=====

No. 7
BiSb2PbI, relaxed, DFT PBE-GGA; space group = No. 123; formation energy from raw total energies = 0.585 eV/atom; offset from the most stable computed form = 0 meV/atom
1.0
5.869 0.000 0.000
0.000 5.869 0.000
0.000 0.000 6.024
Bi Sb Pb I
1 2 1 1
Cartesian
0.000 0.000 0.000
0.000 2.935 0.000
2.935 0.000 0.000
2.935 2.935 3.012
0.000 0.000 3.012

=====

No. 8
La2TlCr, relaxed, DFT PBE-GGA; space group = No. 160; ΔH_f (0 K) = 348 meV/atom; offset from the most stable computed form = 307 meV/atom
1.0
10.434 0.044 0.026
9.771 3.660 0.026
9.771 1.791 3.192
Cr La Tl
1 2 1
Cartesian
22.667 4.156 2.453
0.336 0.062 0.036
7.322 1.342 0.792
14.641 2.684 1.584

=====

No. 9
AlSiPN4, relaxed, DFT PBE-GGA; space group = No. 6; formation energy from raw total energies = -0.564 eV/atom; offset from the most stable computed form = 217 meV/atom
1.0
-3.854 -2.146 1.992
1.758 -1.730 1.537
1.246 3.795 2.845
P Si N Al
1 1 4 1
Cartesian
-0.530 1.412 2.196
-2.515 -0.500 2.312
-1.467 -1.791 2.409
-1.837 0.925 3.140
0.944 1.267 3.092
-0.181 0.556 0.832
-1.593 0.611 5.255

=====

No. 10
Cs2NaMg2H7, relaxed, DFT PBE-GGA; space group = No. 12; total DFT energy (no corrections) = -2.683 eV per atom
1.0
4.116 -0.003 0.011
0.002 4.116 0.011
2.029 2.026 11.283
Mg H Na Cs
2 7 1 2
Cartesian
4.086 4.081 9.430
2.061 2.058 1.875
4.116 2.056 1.858
4.086 2.026 9.447
2.051 2.049 3.826
2.031 4.084 9.447
2.059 2.056 0.011
2.061 4.113 1.858
4.095 4.090 7.479
0.000 0.000 0.000
4.110 4.105 4.101
2.037 2.034 7.204

=====

No. 11
Pu2Tl3InO9, relaxed, DFT PBE-GGA; space group = No. 164; formation energy from raw total energies = -1.786 eV/atom
1.0
6.049 0.000 0.000
-3.024 5.239 0.000
0.000 0.000 7.430
O In Tl Pu
9 1 3 2
Cartesian
1.512 2.619 0.000
1.457 4.334 2.408
3.024 0.000 0.000
1.567 0.905 5.022
3.024 3.429 5.022
-1.457 4.334 2.408
-1.512 2.619 0.000
4.482 0.905 5.022
0.000 1.810 2.408
0.000 0.000 3.715
0.000 3.492 4.882
0.000 0.000 0.000
3.024 1.746 2.548
0.000 3.492 1.246
3.024 1.746 6.184

=====

No. 12
Th6CoC2Se3, relaxed, DFT PBE-GGA; space group = No. 12; formation energy from raw total energies = -1.005 eV/atom
1.0
-3.611 0.975 -0.955
-2.825 -7.189 3.344
1.761 5.833 7.097
Se Th C Co
3 6 2 1
Cartesian
-3.218 -3.107 1.194
-2.308 3.556 4.555
-2.367 -3.937 4.930
-2.502 -2.082 7.332
-1.281 0.890 5.751
-3.395 -1.271 3.735
-4.032 1.081 8.546
-0.643 -1.461 0.940
-2.174 1.701 2.153
-3.713 -0.125 6.108
-0.962 -0.256 3.378
-1.806 0.488 -0.478

=====

No. 13
CaNdP2, relaxed, DFT PBE-GGA; space group = No. 160; ΔH_f (0 K) = -1058 meV/atom; offset from the most stable computed form = 76 meV/atom
1.0
4.160 0.000 0.000
2.080 3.603 0.000
2.080 1.201 6.911
P Nd Ca
2 1 1
Cartesian
2.080 1.201 5.216
2.080 1.201 1.674
6.240 3.603 6.854
4.160 2.402 3.533

=====

No. 14
BiIrRh, relaxed, DFT PBE-GGA; space group = No. 38; ΔH_f (0 K) = 562 meV/atom
1.0
-0.945 -1.730 -2.446
3.020 -0.023 0.867
-2.397 -10.120 8.086
Rh Ir Bi
2 2 2
Cartesian
-0.635 -9.124 6.700
1.057 -1.979 0.992
0.226 -5.557 3.844
0.088 -1.060 -1.301
-1.524 -7.905 4.164
-0.680 -4.342 1.317

=====

No. 15
Li2PdAuBr, relaxed, DFT PBE-GGA; space group = No. 123; formation energy from raw total energies = -0.068 eV/atom
1.0
5.164 0.000 0.000
0.000 4.696 0.000
0.000 0.000 5.164
Li Pd Br Au
2 1 1 1
Cartesian
2.582 0.000 0.000
0.000 0.000 2.582
0.000 0.000 0.000
0.000 2.348 0.000
2.582 2.348 2.582

=====

No. 16
EuPuTh, relaxed, DFT PBE-GGA; space group = No. 107; ΔH_f (0 K) = 189 meV/atom
1.0
3.550 0.000 0.000
0.000 3.550 0.000
-1.775 -1.775 7.689
Pu Eu Th
1 1 1
Cartesian
1.775 1.775 2.693
0.000 0.000 0.052
0.000 0.000 4.944

=====

No. 17
SiHgTe2, relaxed, DFT PBE-GGA; space group = No. 65; formation energy from raw total energies = 0.438 eV/atom; offset from the most stable computed form = 380 meV/atom
1.0
5.132 0.019 0.000
-0.916 5.049 0.000
0.000 0.000 3.945
Te Hg Si
2 1 1
Cartesian
0.000 0.000 0.000
2.108 2.534 0.000
2.566 0.010 1.973
-0.458 2.525 1.973

=====

No. 18
LaThSi2, relaxed, DFT PBE-GGA; space group = No. 38; formation energy from raw total energies = -0.687 eV/atom; offset from the most stable computed form = 11 meV/atom
1.0
4.495 0.000 -0.031
0.000 4.005 0.000
-2.212 0.000 5.542
Si Th La
2 1 1
Cartesian
-1.191 0.000 3.088
-1.182 2.002 4.669
1.051 2.002 2.369
1.072 0.000 5.451

=====

No. 19
PmBe13, relaxed, DFT PBE-GGA; space group = No. 226; ΔH_f (0 K) = -181 meV/atom
1.0
6.291 0.000 3.632
2.097 5.931 3.632
0.000 0.000 7.264
Be Pm
26 2
Cartesian
5.879 2.590 5.985
6.026 0.375 5.731
2.362 5.556 8.798
1.889 4.217 4.911
3.986 1.252 5.985
3.190 1.252 8.084
3.309 4.217 10.437
4.606 0.375 9.617
4.459 2.590 9.363
5.406 1.252 7.724
5.198 4.680 6.445
6.145 3.341 8.084
7.384 4.217 6.445
2.244 2.590 6.445
6.499 1.714 9.617
3.929 3.341 5.165
4.194 2.966 7.264
6.438 5.556 8.084
0.000 0.000 0.000
2.509 3.341 8.544
2.982 4.680 6.805
4.402 4.680 8.544
5.079 1.714 4.092
1.950 0.375 6.445
1.004 1.714 8.084
3.782 5.556 4.911
2.097 1.483 3.632
6.291 4.448 10.897

=====

No. 20
FeCo, relaxed, DFT PBE-GGA; space group = No. 12; ΔH_f (0 K) = -25 meV/atom
1.0
4.717 0.000 -0.010
0.462 4.689 0.003
-2.160 -2.809 3.105
Co Fe
3 3
Cartesian
2.559 0.617 1.025
0.019 0.010 0.005
3.879 2.658 0.512
0.440 1.253 2.069
-0.869 -0.771 2.579
1.287 -1.411 1.556

=====

The calculation returns the following M_tot values, one per record and in order: 0.00 0.00 13.76 0.00 0.00 0.64 0.00 3.80 0.00 0.00 4.00 0.00 0.00 0.00 0.00 13.21 0.00 0.00 0.00 13.16 μB per cell.